VASP calculation (PBE) on an optimized crystal structure of MnPd.

Output
Spin magnetization ... 25.32 μB per cell
Symmetry ... Pmmn
Fermi-level density of states ... 0.7651 states/eV/atom
Formation energy from the elements ... -0.53 kcal/mol of atoms

a b c (Å): 2.856 4.590 13.938
angles (deg): 90.00 90.00 90.00
Site moments in Bohr magnetons follow the coordinates.
Fractional positions:
Mn 0.000 0.900 0.667  3.74
Mn 0.500 0.100 0.833  3.74
Mn 0.500 0.100 0.167  3.74
Mn 0.000 0.900 0.333  3.74
Mn 0.000 0.309 0.000  3.80
Mn 0.500 0.691 0.500  3.80
Pd 0.000 0.599 0.833  0.30
Pd 0.500 0.401 0.667  0.30
Pd 0.500 0.401 0.333  0.30
Pd 0.000 0.599 0.167  0.30
Pd 0.000 0.186 0.500  0.30
Pd 0.500 0.814 0.000  0.30


VASP calculation (PBE) on an optimized crystal structure of MnPd.

Output
Spin magnetization ... 18.81 μB per cell
Symmetry ... F-43m
Fermi-level density of states ... 0.4318 states/eV/atom
Formation energy from the elements ... 19.77 kcal/mol of atoms

a b c (Å): 5.753 5.753 5.753
angles (deg): 90.00 90.00 90.00
Site moments in Bohr magnetons follow the coordinates.
Fractional positions:
Mn 0.250 0.250 0.250  4.08
Mn 0.250 0.750 0.750  4.08
Mn 0.750 0.250 0.750  4.08
Mn 0.750 0.750 0.250  4.08
Pd 0.000 0.000 0.000  0.27
Pd 0.000 0.500 0.500  0.27
Pd 0.500 0.000 0.500  0.27
Pd 0.500 0.500 0.000  0.27


VASP calculation (PBE) on an optimized crystal structure of Pm2MnPd.

Output
Polymorph energy (0 for the lowest one) ... 0.000 eV per atom
Spin magnetization ... 2.97 μB per cell
Symmetry ... P4/mmm
Fermi-level density of states ... 1.1011 states/eV/atom
Formation energy from the elements ... -5.56 kcal/mol of atoms

a b c (Å): 3.656 3.656 7.055
angles (deg): 90.00 90.00 90.00
Site moments in Bohr magnetons follow the coordinates.
Fractional positions:
Mn 0.500 0.500 0.500  3.50
Pd 0.500 0.500 0.000  -0.01
Pm 0.000 0.000 0.753  -0.20
Pm 0.000 0.000 0.247  -0.20


VASP calculation (PBE) on an optimized crystal structure of Pm2MnPd9.

Output
Spin magnetization ... 4.20 μB per cell
Symmetry ... P4/mmm
Fermi-level density of states ... 0.8906 states/eV/atom
Formation energy from the elements ... -13.36 kcal/mol of atoms

a b c (Å): 4.141 4.141 12.077
angles (deg): 90.00 90.00 90.00
Site moments in Bohr magnetons follow the coordinates.
Fractional positions:
Pm 0.000 0.000 0.324  -0.02
Pm 0.000 0.000 0.676  -0.02
Mn 0.000 0.000 0.000  3.94
Pd 0.500 0.500 0.000  0.04
Pd 0.500 0.500 0.326  -0.01
Pd 0.500 0.500 0.674  -0.01
Pd 0.500 0.000 0.150  0.07
Pd 0.500 0.000 0.500  -0.01
Pd 0.500 0.000 0.850  0.07
Pd 0.000 0.500 0.150  0.07
Pd 0.000 0.500 0.500  -0.01
Pd 0.000 0.500 0.850  0.07